A relaxed structure of CdI, computed with PBE.

## Properties
- Energy relative to the elements, uncorrected: -0.8 eV per formula unit
- E: -6.63 eV/cell
- Total magnetic moment: 0.0 μB/f.u.

Lattice parameters (Å, degrees): 4.4019 4.3998 10.5862 68.67 78.07 60.02
Last column: nearest neighbours and their distance in Å.
Atoms (fractional coordinates):
Cd  0.5116  0.1131  0.8631  1 Cd 2.70, 3 I 3.01
Cd  0.4884  0.8869  0.1369  1 Cd 2.70, 3 I 3.01
I  0.1909  0.9175  0.6987  3 Cd 3.01
I  0.8091  0.0825  0.3013  3 Cd 3.01